(1)
PBE-GGA LaPr12Al3, relaxed; energy of formation from the pure elements = -0.104 eV/atom; energy = -0.1727 hartree per atom
1.0
-3.778 -2.966 1.315
3.159 -3.823 0.453
3.031 4.830 19.613
La Pr Al
1 12 3
direct
0.000 0.000 0.000
0.500 0.500 0.000
0.500 0.500 0.260
0.500 0.500 0.500
0.500 0.500 0.740
0.500 0.000 0.138
0.500 0.000 0.380
0.500 0.000 0.620
0.500 0.000 0.862
0.000 0.500 0.138
0.000 0.500 0.380
0.000 0.500 0.620
0.000 0.500 0.862
0.000 0.000 0.258
0.000 0.000 0.500
0.000 0.000 0.742

(2)
PBE-GGA VBPtPb2, relaxed; energy of formation from the pure elements = 1.352 eV/atom; energy = -0.1653 hartree per atom
1.0
5.246 0.000 0.000
0.000 4.644 0.000
0.000 0.000 5.246
Pb B Pt V
2 1 1 1
direct
0.000 0.000 0.500
0.500 0.000 0.000
0.500 0.500 0.500
0.000 0.500 0.000
0.000 0.000 0.000